Entry 1:
Pm2SnS | PBE-GGA | optimized geometry Values from VASP.

M_tot, μB per formula unit: 0.000
Calculated volume, Å³/cell: 212.6
E_form (uncorrected), meV/atom: -1357

The structure in Quantum ESPRESSO input format:
```
&SYSTEM
  ibrav = 0, nat = 8, ntyp = 3
/
ATOMIC_SPECIES
S 32.06 S.upf
Pm 145.00 Pm.upf
Sn 118.71 Sn.upf
CELL_PARAMETERS angstrom
-3.5931 2.0201 1.1987
-1.6827 -3.7326 1.2464
5.2445 3.4163 9.9630
ATOMIC_POSITIONS crystal
S 0.7500 0.8086 0.6172
S 0.2500 0.1914 0.3828
Pm 0.2500 0.0722 0.1444
Pm 0.2500 0.3112 0.6224
Pm 0.7500 0.6888 0.3776
Pm 0.7500 0.9278 0.8556
Sn 0.7500 0.5461 0.0921
Sn 0.2500 0.4539 0.9079
```

---

Entry 2:
Mg2MnAs | PBE-GGA | optimized geometry Values from VASP.

M_tot, μB per formula unit: 3.326
Calculated volume, Å³/cell: 70.7
Raw total energy, eV per cell: -17.035

The structure in Quantum ESPRESSO input format:
```
&SYSTEM
  ibrav = 0, nat = 4, ntyp = 3
/
ATOMIC_SPECIES
Mg 24.30 Mg.upf
As 74.92 As.upf
Mn 54.94 Mn.upf
CELL_PARAMETERS angstrom
5.3099 0.0145 -0.0378
2.3494 4.7619 0.0378
-3.8086 -2.4220 2.7974
ATOMIC_POSITIONS crystal
Mg 0.9998 0.9998 0.0000
Mg 0.5002 0.5002 0.0000
As 0.2500 0.7500 0.5000
Mn 0.7500 0.2500 0.5000
```

---

Entry 3:
Pu2ZnSi3 | PBE-GGA | optimized geometry Values from VASP.

M_tot, μB per formula unit: 0.080
Calculated volume, Å³/cell: 231.3
E_form (uncorrected), meV/atom: -411

The structure in Quantum ESPRESSO input format:
```
&SYSTEM
  ibrav = 0, nat = 12, ntyp = 3
/
ATOMIC_SPECIES
Si 28.09 Si.upf
Pu 244.00 Pu.upf
Zn 65.41 Zn.upf
CELL_PARAMETERS angstrom
-3.5546 4.0075 1.9970
-4.5206 -3.1811 -1.4588
4.1473 -3.4916 6.1037
ATOMIC_POSITIONS crystal
Si 0.6684 0.6684 0.8341
Si 0.3316 0.3316 0.1659
Si 0.1664 0.1664 0.3328
Si 0.8336 0.8336 0.6672
Si 0.1657 0.1657 0.8341
Si 0.8343 0.8343 0.1659
Pu 0.7500 0.2500 0.5000
Pu 0.2500 0.7500 0.5000
Pu 0.7558 0.2442 0.0000
Pu 0.2442 0.7558 0.0000
Zn 0.6659 0.6659 0.3319
Zn 0.3341 0.3341 0.6681
```

---

Entry 4:
SmDy5Y4 | PBE-GGA | optimized geometry Values from VASP.

M_tot, μB per formula unit: 0.000
Calculated volume, Å³/cell: 328.1
Raw total energy, eV per cell: -50.621

The structure in Quantum ESPRESSO input format:
```
&SYSTEM
  ibrav = 0, nat = 10, ntyp = 3
/
ATOMIC_SPECIES
Y 88.91 Y.upf
Sm 150.36 Sm.upf
Dy 162.50 Dy.upf
CELL_PARAMETERS angstrom
6.3284 0.0000 0.0000
3.1642 7.2007 0.0000
3.1642 0.0000 7.2007
ATOMIC_POSITIONS crystal
Y 0.4082 0.3862 0.7018
Y 0.7945 0.7018 0.6138
Y 0.4963 0.6138 0.2982
Y 0.1101 0.2982 0.3862
Sm 0.2226 0.0000 0.0000
Dy 0.0968 0.6257 0.0812
Dy 0.6777 0.0000 0.0000
Dy 0.1780 0.9188 0.6257
Dy 0.7225 0.0812 0.3743
Dy 0.8037 0.3743 0.9188
```

---

Entry 5:
AlReNi6 | PBE-GGA | optimized geometry Values from VASP.

M_tot, μB per formula unit: 0.001
Calculated volume, Å³/cell: 92.7
Raw total energy, eV per cell: -52.364

The structure in Quantum ESPRESSO input format:
```
&SYSTEM
  ibrav = 0, nat = 8, ntyp = 3
/
ATOMIC_SPECIES
Ni 58.69 Ni.upf
Al 26.98 Al.upf
Re 186.21 Re.upf
CELL_PARAMETERS angstrom
3.5909 0.0000 0.0000
0.0000 3.5909 0.0000
0.0000 0.0000 7.1900
ATOMIC_POSITIONS crystal
Ni 0.5000 0.0000 0.7482
Ni 0.5000 0.5000 0.0000
Ni 0.5000 0.0000 0.2518
Ni 0.5000 0.5000 0.5000
Ni 0.0000 0.5000 0.2518
Ni 0.0000 0.5000 0.7482
Al 0.0000 0.0000 0.0000
Re 0.0000 0.0000 0.5000
```

---

Entry 6:
Ac2La3Dy4 | PBE-GGA | optimized geometry Values from VASP.

M_tot, μB per formula unit: 0.000
Calculated volume, Å³/cell: 676.6
Raw total energy, eV per cell: -80.748

The structure in Quantum ESPRESSO input format:
```
&SYSTEM
  ibrav = 0, nat = 18, ntyp = 3
/
ATOMIC_SPECIES
Dy 162.50 Dy.upf
La 138.91 La.upf
Ac 227.00 Ac.upf
CELL_PARAMETERS angstrom
-3.4689 -1.5897 4.3546
0.5462 -6.9861 -2.1153
12.7265 -1.8681 9.4562
ATOMIC_POSITIONS crystal
Dy 0.0000 0.3648 0.3775
Dy 0.5000 0.1352 0.8775
Dy 0.0000 0.6352 0.6225
Dy 0.0000 0.9085 0.7928
Dy 0.5000 0.5915 0.2928
Dy 0.5000 0.8648 0.1225
Dy 0.5000 0.4085 0.7072
Dy 0.0000 0.0915 0.2072
La 0.0000 0.3963 0.8350
La 0.5000 0.8963 0.6650
La 0.5000 0.5000 0.5000
La 0.5000 0.1037 0.3350
La 0.0000 0.6037 0.1650
La 0.0000 0.0000 0.0000
Ac 0.5000 0.3351 0.0948
Ac 0.0000 0.1649 0.5948
Ac 0.0000 0.8351 0.4052
Ac 0.5000 0.6649 0.9052
```

---

Entry 7:
Pu2PaZn | PBE-GGA | optimized geometry Values from VASP.

M_tot, μB per formula unit: 12.991
Calculated volume, Å³/cell: 89.5
Raw total energy, eV per cell: -38.874

The structure in Quantum ESPRESSO input format:
```
&SYSTEM
  ibrav = 0, nat = 4, ntyp = 3
/
ATOMIC_SPECIES
Zn 65.41 Zn.upf
Pu 244.00 Pu.upf
Pa 231.04 Pa.upf
CELL_PARAMETERS angstrom
5.0211 0.0000 0.0000
2.5106 4.3484 0.0000
2.5106 1.4495 4.0997
ATOMIC_POSITIONS crystal
Zn 0.5000 0.5000 0.5000
Pu 0.2500 0.2500 0.2500
Pu 0.7500 0.7500 0.7500
Pa 0.0000 0.0000 0.0000
```

---

Entry 8:
Pm2MnRe2N6 | PBE-GGA | optimized geometry Values from VASP.

M_tot, μB per formula unit: 3.086
Calculated volume, Å³/cell: 159.2
E_form (uncorrected), meV/atom: -318

The structure in Quantum ESPRESSO input format:
```
&SYSTEM
  ibrav = 0, nat = 11, ntyp = 4
/
ATOMIC_SPECIES
N 14.01 N.upf
Pm 145.00 Pm.upf
Re 186.21 Re.upf
Mn 54.94 Mn.upf
CELL_PARAMETERS angstrom
5.8957 0.0000 0.0000
2.9478 5.1058 0.0000
2.9478 1.7019 5.2895
ATOMIC_POSITIONS crystal
N 0.7692 0.2244 0.2373
N 0.2308 0.7756 0.7627
N 0.2244 0.7692 0.2373
N 0.7756 0.2308 0.7627
N 0.7692 0.7692 0.2373
N 0.2308 0.2308 0.7627
Pm 0.8011 0.8011 0.5967
Pm 0.1989 0.1989 0.4033
Re 0.5740 0.5740 0.2780
Re 0.4260 0.4260 0.7220
Mn 0.0000 0.0000 0.0000
```